Entry 1:
Density functional theory data (PBE) for a geometry-optimized Ba2Tl2Cd3 structure.

ΔH_f (0 K) = -0.305 eV per atom
spin magnetization = 0.00 μB per formula unit

abc: 12.2338 5.2640 7.6458
angles: 90.00 110.70 90.00
Fractional coordinates of all 14 atoms:
Ba1 0.1464 0.0000 0.2672
Ba2 0.3536 0.5000 0.7328
Ba3 0.6464 0.5000 0.2672
Ba4 0.8536 0.0000 0.7328
Tl1 0.1599 0.0000 0.7616
Tl2 0.3401 0.5000 0.2384
Tl3 0.6599 0.5000 0.7616
Tl4 0.8401 0.0000 0.2384
Cd1 0.0000 0.5000 0.5000
Cd2 0.0900 0.5000 0.9149
Cd3 0.4100 0.0000 0.0851
Cd4 0.5000 0.0000 0.5000
Cd5 0.5900 0.0000 0.9149
Cd6 0.9100 0.5000 0.0851


Entry 2:
Density functional theory data (PBE) for a geometry-optimized BaTlCd2 structure.

ΔH_f (0 K) = -0.186 eV per atom
E above lowest polymorph = 56 meV/atom
spin magnetization = 0.00 μB per formula unit

abc: 4.0072 4.8359 7.0153
angles: 90.00 105.04 90.00
Fractional coordinates of all 4 atoms:
Ba1 0.0000 0.0000 0.0000
Tl1 0.3136 0.5000 0.6630
Cd1 0.6207 0.5000 0.2513
Cd2 0.6839 0.0000 0.4789


Entry 3:
Density functional theory data (PBE) for a geometry-optimized Ba6TlCd2 structure.

ΔH_f (0 K) = -0.219 eV per atom
spin magnetization = 0.00 μB per formula unit

abc: 10.2986 10.2986 10.2986
angles: 110.85 109.06 108.51
Fractional coordinates of all 18 atoms:
Ba1 0.0546 0.2470 0.8076
Ba2 0.1676 0.4537 0.2861
Ba3 0.1676 0.8815 0.7139
Ba4 0.3265 0.2395 0.5660
Ba5 0.3265 0.7605 0.0869
Ba6 0.4393 0.2470 0.1924
Ba7 0.5607 0.7530 0.8076
Ba8 0.6735 0.2395 0.9131
Ba9 0.6735 0.7605 0.4340
Ba10 0.8324 0.1185 0.2861
Ba11 0.8324 0.5463 0.7139
Ba12 0.9454 0.7530 0.1924
Tl1 0.0000 0.0000 0.0000
Tl2 0.5000 0.5000 0.0000
Cd1 0.1456 0.5000 0.6456
Cd2 0.3777 0.8777 0.5000
Cd3 0.6223 0.1223 0.5000
Cd4 0.8544 0.5000 0.3544


> Look up the spin magnetization of the second one.

0.00 μB per formula unit


Copy entry 2 word for word.
Density functional theory data (PBE) for a geometry-optimized BaTlCd2 structure.

ΔH_f (0 K) = -0.186 eV per atom
E above lowest polymorph = 56 meV/atom
spin magnetization = 0.00 μB per formula unit

abc: 4.0072 4.8359 7.0153
angles: 90.00 105.04 90.00
Fractional coordinates of all 4 atoms:
Ba1 0.0000 0.0000 0.0000
Tl1 0.3136 0.5000 0.6630
Cd1 0.6207 0.5000 0.2513
Cd2 0.6839 0.0000 0.4789